No. 1
Density functional theory data (PBE-GGA) for LaNd6Dy3Tm2 after structural relaxation.

Calculated values
- E (eV/atom) = -4.6722
- energy of formation from the pure elements (kJ per mole of atoms) = 2

Lattice parameters (Å, degrees): 6.285 6.285 11.939 95.03 95.03 120.00
Positions (direct):
La (0.000, 0.000, 0.000)
Nd (0.916, 0.581, 0.748)
Nd (0.750, 0.750, 0.252)
Nd (0.084, 0.419, 0.252)
Nd (0.581, 0.916, 0.748)
Nd (0.250, 0.250, 0.748)
Nd (0.419, 0.084, 0.252)
Dy (0.167, 0.833, 0.500)
Dy (0.833, 0.167, 0.500)
Dy (0.500, 0.500, 0.500)
Tm (0.333, 0.667, 0.000)
Tm (0.667, 0.333, 0.000)

=====

No. 2
Density functional theory data (PBE-GGA) for LaNd2Dy2Tm after structural relaxation.

Calculated values
- E (eV/atom) = -4.6238
- energy of formation from the pure elements (kJ per mole of atoms) = 6

Lattice parameters (Å, degrees): 5.713 7.078 9.913 90.00 90.00 90.00
Positions (direct):
La (0.500, 0.257, 0.653)
La (0.500, 0.757, 0.347)
Nd (0.500, 0.008, 0.000)
Nd (0.000, 0.258, 0.179)
Nd (0.500, 0.508, 0.000)
Nd (0.000, 0.758, 0.821)
Dy (0.000, 0.258, 0.838)
Dy (0.500, 0.257, 0.326)
Dy (0.000, 0.758, 0.162)
Dy (0.500, 0.757, 0.674)
Tm (0.000, 0.007, 0.500)
Tm (0.000, 0.507, 0.500)

=====

No. 3
Density functional theory data (PBE-GGA) for La2Nd2DyTm2 after structural relaxation.

Calculated values
- E (eV/atom) = -4.6764
- energy of formation from the pure elements (kJ per mole of atoms) = 3

Lattice parameters (Å, degrees): 5.144 6.297 8.080 97.62 90.00 114.11
Positions (direct):
La (0.144, 0.287, 0.428)
La (0.856, 0.713, 0.572)
Nd (0.571, 0.142, 0.722)
Nd (0.429, 0.858, 0.278)
Dy (0.000, 0.000, 0.000)
Tm (0.716, 0.432, 0.137)
Tm (0.284, 0.568, 0.863)

=====

No. 4
Density functional theory data (PBE-GGA) for LaNdDy5Tm2 after structural relaxation.

Calculated values
- E (eV/atom) = -4.4664
- energy of formation from the pure elements (kJ per mole of atoms) = 16

Lattice parameters (Å, degrees): 5.604 10.223 10.776 90.00 90.00 105.91
Positions (direct):
La (0.793, 0.586, 0.508)
La (0.207, 0.414, 0.008)
Nd (0.582, 0.165, 0.953)
Nd (0.418, 0.835, 0.453)
Dy (0.395, 0.790, 0.026)
Dy (0.716, 0.431, 0.803)
Dy (0.477, 0.953, 0.738)
Dy (0.297, 0.593, 0.705)
Dy (0.982, 0.964, 0.530)
Dy (0.605, 0.210, 0.526)
Dy (0.284, 0.569, 0.303)
Dy (0.523, 0.047, 0.238)
Dy (0.703, 0.407, 0.205)
Dy (0.018, 0.036, 0.030)
Tm (0.885, 0.770, 0.822)
Tm (0.107, 0.214, 0.739)
Tm (0.115, 0.230, 0.322)
Tm (0.893, 0.786, 0.239)

=====

No. 5
Density functional theory data (PBE-GGA) for LaNd2DyTm5 after structural relaxation.

Calculated values
- E (eV/atom) = -4.3497
- energy of formation from the pure elements (kJ per mole of atoms) = 24

Lattice parameters (Å, degrees): 8.608 8.608 9.898 115.78 115.78 90.00
Positions (direct):
La (0.250, 0.750, 0.500)
La (0.750, 0.250, 0.500)
Nd (0.118, 0.382, 0.000)
Nd (0.618, 0.118, 0.000)
Nd (0.382, 0.882, 0.000)
Nd (0.882, 0.618, 0.000)
Dy (0.250, 0.250, 0.500)
Dy (0.750, 0.750, 0.500)
Tm (0.929, 0.429, 0.277)
Tm (0.653, 0.153, 0.723)
Tm (0.071, 0.571, 0.723)
Tm (0.153, 0.071, 0.723)
Tm (0.571, 0.653, 0.723)
Tm (0.847, 0.929, 0.277)
Tm (0.429, 0.347, 0.277)
Tm (0.347, 0.847, 0.277)
Tm (0.500, 0.500, 0.000)
Tm (0.000, 0.000, 0.000)

=====

No. 6
Density functional theory data (PBE-GGA) for La4NdDy2Tm after structural relaxation.

Calculated values
- E (eV/atom) = -4.6860
- energy of formation from the pure elements (kJ per mole of atoms) = 8

Lattice parameters (Å, degrees): 5.984 5.991 9.787 52.28 90.00 90.00
Positions (direct):
La (0.000, 0.761, 0.741)
La (0.000, 0.239, 0.259)
La (0.500, 0.741, 0.259)
La (0.500, 0.259, 0.741)
Nd (0.500, 0.500, 0.000)
Dy (0.000, 0.000, 0.000)
Dy (0.500, 0.000, 0.500)
Tm (0.000, 0.500, 0.500)

=====

No. 7
Density functional theory data (PBE-GGA) for La4NdDyTm2 after structural relaxation.

Calculated values
- E (eV/atom) = -4.6714
- energy of formation from the pure elements (kJ per mole of atoms) = 8

Lattice parameters (Å, degrees): 5.977 5.976 9.775 52.33 90.00 90.00
Positions (direct):
La (0.000, 0.758, 0.743)
La (0.000, 0.242, 0.257)
La (0.500, 0.744, 0.255)
La (0.500, 0.256, 0.745)
Nd (0.500, 0.500, 0.000)
Dy (0.000, 0.500, 0.500)
Tm (0.000, 0.000, 0.000)
Tm (0.500, 0.000, 0.500)

=====

No. 8
Density functional theory data (PBE-GGA) for La3NdDy6Tm2 after structural relaxation.

Calculated values
- E (eV/atom) = -4.6531
- energy of formation from the pure elements (kJ per mole of atoms) = 2

Lattice parameters (Å, degrees): 6.230 6.230 11.898 95.01 95.01 120.01
Positions (direct):
La (0.167, 0.833, 0.500)
La (0.833, 0.167, 0.500)
La (0.500, 0.500, 0.500)
Nd (0.000, 0.000, 0.000)
Dy (0.919, 0.584, 0.755)
Dy (0.747, 0.747, 0.245)
Dy (0.081, 0.416, 0.245)
Dy (0.584, 0.919, 0.755)
Dy (0.253, 0.253, 0.755)
Dy (0.416, 0.081, 0.245)
Tm (0.333, 0.667, 0.000)
Tm (0.667, 0.333, 0.000)

=====

No. 9
Density functional theory data (PBE-GGA) for La5NdDy2Tm after structural relaxation.

Calculated values
- E (eV/atom) = -4.4997
- energy of formation from the pure elements (kJ per mole of atoms) = 28

Lattice parameters (Å, degrees): 9.564 9.564 9.777 119.28 119.28 90.00
Positions (direct):
La (0.934, 0.434, 0.270)
La (0.664, 0.164, 0.730)
La (0.066, 0.566, 0.730)
La (0.164, 0.066, 0.730)
La (0.566, 0.664, 0.730)
La (0.836, 0.934, 0.270)
La (0.434, 0.336, 0.270)
La (0.336, 0.836, 0.270)
La (0.500, 0.500, 0.000)
La (0.000, 0.000, 0.000)
Nd (0.250, 0.250, 0.500)
Nd (0.750, 0.750, 0.500)
Dy (0.108, 0.392, 0.000)
Dy (0.608, 0.108, 0.000)
Dy (0.392, 0.892, 0.000)
Dy (0.892, 0.608, 0.000)
Tm (0.250, 0.750, 0.500)
Tm (0.750, 0.250, 0.500)

=====

No. 10
Density functional theory data (PBE-GGA) for La5Nd2DyTm after structural relaxation.

Calculated values
- E (eV/atom) = -4.5376
- energy of formation from the pure elements (kJ per mole of atoms) = 26

Lattice parameters (Å, degrees): 8.591 8.591 10.692 113.69 113.69 90.00
Positions (direct):
La (0.921, 0.421, 0.287)
La (0.634, 0.134, 0.713)
La (0.079, 0.579, 0.713)
La (0.134, 0.079, 0.713)
La (0.579, 0.634, 0.713)
La (0.866, 0.921, 0.287)
La (0.421, 0.366, 0.287)
La (0.366, 0.866, 0.287)
La (0.500, 0.500, 0.000)
La (0.000, 0.000, 0.000)
Nd (0.125, 0.375, 0.000)
Nd (0.625, 0.125, 0.000)
Nd (0.375, 0.875, 0.000)
Nd (0.875, 0.625, 0.000)
Dy (0.250, 0.250, 0.500)
Dy (0.750, 0.750, 0.500)
Tm (0.250, 0.750, 0.500)
Tm (0.750, 0.250, 0.500)

=====

No. 11
Density functional theory data (PBE-GGA) for LaNdDy3Tm after structural relaxation.

Calculated values
- E (eV/atom) = -4.5525
- energy of formation from the pure elements (kJ per mole of atoms) = 11

Lattice parameters (Å, degrees): 5.904 6.413 11.800 90.00 90.00 117.41
Positions (direct):
La (0.495, 0.989, 0.750)
La (0.505, 0.011, 0.250)
Nd (0.000, 0.000, 0.500)
Nd (0.000, 0.000, 0.000)
Dy (0.675, 0.351, 0.504)
Dy (0.325, 0.649, 0.496)
Dy (0.325, 0.649, 0.004)
Dy (0.675, 0.351, 0.996)
Dy (0.175, 0.349, 0.750)
Dy (0.825, 0.651, 0.250)
Tm (0.830, 0.661, 0.750)
Tm (0.170, 0.339, 0.250)

=====

No. 12
Density functional theory data (PBE-GGA) for LaNdDy2Y after structural relaxation.

Calculated values
- E (eV/atom) = -4.7191
- energy of formation from the pure elements (kJ per mole of atoms) = 34

Lattice parameters (Å, degrees): 7.245 8.453 7.199 125.95 90.00 90.00
Positions (direct):
La (0.750, 0.730, 0.459)
La (0.250, 0.270, 0.541)
Nd (0.250, 0.009, 0.017)
Nd (0.750, 0.991, 0.983)
Dy (0.500, 0.312, 0.000)
Dy (0.000, 0.688, 0.000)
Dy (0.500, 0.688, 0.000)
Dy (0.000, 0.312, 0.000)
Y (0.250, 0.724, 0.447)
Y (0.750, 0.276, 0.553)

=====

No. 13
Density functional theory data (PBE-GGA) for LaNd3Dy2Y6 after structural relaxation.

Calculated values
- E (eV/atom) = -5.5862
- energy of formation from the pure elements (kJ per mole of atoms) = 1

Lattice parameters (Å, degrees): 6.258 6.258 11.909 95.01 95.01 119.99
Positions (direct):
La (0.000, 0.000, 0.000)
Nd (0.167, 0.833, 0.500)
Nd (0.833, 0.167, 0.500)
Nd (0.500, 0.500, 0.500)
Dy (0.333, 0.667, 0.000)
Dy (0.667, 0.333, 0.000)
Y (0.917, 0.582, 0.751)
Y (0.749, 0.749, 0.249)
Y (0.083, 0.418, 0.249)
Y (0.582, 0.917, 0.751)
Y (0.251, 0.251, 0.751)
Y (0.418, 0.083, 0.249)

=====

No. 14
Density functional theory data (PBE-GGA) for LaNd6DyY2 after structural relaxation.

Calculated values
- E (eV/atom) = -4.9913
- energy of formation from the pure elements (kJ per mole of atoms) = 11

Lattice parameters (Å, degrees): 9.725 9.013 9.013 117.11 93.75 93.75
Positions (direct):
La (0.250, 0.406, 0.594)
La (0.750, 0.594, 0.406)
Nd (0.057, 0.109, 0.762)
Nd (0.443, 0.238, 0.891)
Nd (0.943, 0.891, 0.238)
Nd (0.557, 0.762, 0.109)
Nd (0.317, 0.983, 0.435)
Nd (0.183, 0.565, 0.017)
Nd (0.683, 0.017, 0.565)
Nd (0.817, 0.435, 0.983)
Nd (0.119, 0.705, 0.485)
Nd (0.381, 0.515, 0.295)
Nd (0.881, 0.295, 0.515)
Nd (0.619, 0.485, 0.705)
Dy (0.250, 0.966, 0.034)
Dy (0.750, 0.034, 0.966)
Y (0.452, 0.804, 0.709)
Y (0.048, 0.291, 0.196)
Y (0.548, 0.196, 0.291)
Y (0.952, 0.709, 0.804)

=====

No. 15
Density functional theory data (PBE-GGA) for LaNd2Dy2Y after structural relaxation.

Calculated values
- E (eV/atom) = -4.9662
- energy of formation from the pure elements (kJ per mole of atoms) = 5

Lattice parameters (Å, degrees): 5.713 9.956 7.097 90.00 90.00 90.00
Positions (direct):
La (0.000, 0.000, 0.000)
La (0.500, 0.500, 0.500)
Nd (0.500, 0.833, 0.253)
Nd (0.500, 0.167, 0.747)
Nd (0.000, 0.667, 0.753)
Nd (0.000, 0.333, 0.247)
Dy (0.500, 0.167, 0.251)
Dy (0.000, 0.667, 0.249)
Dy (0.500, 0.833, 0.749)
Dy (0.000, 0.333, 0.751)
Y (0.500, 0.500, 0.000)
Y (0.000, 0.000, 0.500)

=====

No. 16
Density functional theory data (PBE-GGA) for La2Nd6DyY after structural relaxation.

Calculated values
- E (eV/atom) = -4.8418
- energy of formation from the pure elements (kJ per mole of atoms) = 11

Lattice parameters (Å, degrees): 10.092 8.968 8.968 118.27 95.04 95.04
Positions (direct):
La (0.459, 0.806, 0.705)
La (0.041, 0.295, 0.194)
La (0.541, 0.194, 0.295)
La (0.959, 0.705, 0.806)
Nd (0.055, 0.124, 0.745)
Nd (0.445, 0.255, 0.876)
Nd (0.945, 0.876, 0.255)
Nd (0.555, 0.745, 0.124)
Nd (0.311, 0.980, 0.419)
Nd (0.189, 0.581, 0.020)
Nd (0.689, 0.020, 0.581)
Nd (0.811, 0.419, 0.980)
Nd (0.121, 0.707, 0.504)
Nd (0.379, 0.496, 0.293)
Nd (0.879, 0.293, 0.496)
Nd (0.621, 0.504, 0.707)
Dy (0.250, 0.405, 0.595)
Dy (0.750, 0.595, 0.405)
Y (0.250, 0.986, 0.014)
Y (0.750, 0.014, 0.986)

=====

No. 17
Density functional theory data (PBE-GGA) for LaNdDy2Y2 after structural relaxation.

Calculated values
- E (eV/atom) = -5.0403
- energy of formation from the pure elements (kJ per mole of atoms) = 26

Lattice parameters (Å, degrees): 3.418 6.624 18.051 90.00 90.00 90.00
Positions (direct):
La (0.000, 0.000, 0.000)
La (0.500, 0.500, 0.500)
Nd (0.500, 0.500, 0.000)
Nd (0.000, 0.000, 0.500)
Dy (0.500, 0.779, 0.351)
Dy (0.500, 0.221, 0.649)
Dy (0.000, 0.721, 0.851)
Dy (0.000, 0.279, 0.149)
Y (0.500, 0.277, 0.313)
Y (0.000, 0.777, 0.187)
Y (0.500, 0.723, 0.687)
Y (0.000, 0.223, 0.813)

=====

No. 18
Density functional theory data (PBE-GGA) for LaNdDyY after structural relaxation.

Calculated values
- E (eV/atom) = -5.0936
- E above lowest polymorph (meV/atom) = 67.4
- energy of formation from the pure elements (kJ per mole of atoms) = 9

Lattice parameters (Å, degrees): 5.790 5.790 5.790 60.00 60.00 60.00
Positions (direct):
Y (0.750, 0.750, 0.750)
La (0.000, 0.000, 0.000)
Nd (0.500, 0.500, 0.500)
Dy (0.250, 0.250, 0.250)

=====

No. 19
Density functional theory data (PBE-GGA) for LaNdDyY after structural relaxation.

Calculated values
- E (eV/atom) = -5.1611
- E above lowest polymorph (meV/atom) = 0.0
- energy of formation from the pure elements (kJ per mole of atoms) = 3

Lattice parameters (Å, degrees): 5.155 5.155 6.300 114.14 114.14 90.03
Positions (direct):
La (0.000, 0.000, 0.000)
Nd (0.250, 0.750, 0.500)
Dy (0.750, 0.250, 0.500)
Y (0.500, 0.500, 0.000)

=====

No. 20
Density functional theory data (PBE-GGA) for La6NdDyY2 after structural relaxation.

Calculated values
- E (eV/atom) = -4.9945
- energy of formation from the pure elements (kJ per mole of atoms) = 19

Lattice parameters (Å, degrees): 9.089 7.116 6.750 121.81 102.07 90.00
Positions (direct):
La (0.430, 0.635, 0.271)
La (0.194, 0.040, 0.634)
La (0.806, 0.405, 0.366)
La (0.194, 0.595, 0.634)
La (0.806, 0.960, 0.366)
La (0.570, 0.365, 0.729)
Nd (0.500, 0.000, 0.000)
Dy (0.000, 0.500, 0.000)
Y (0.165, 0.087, 0.173)
Y (0.835, 0.913, 0.827)